Entry from Alexandria: a geometry-optimized La3Al2Pd9Pb structure (PBE).

## Properties
Energy relative to the elements = -14.655 kcal/mol of atoms
Space-group type = P-3m1
Energy = -82.24 eV per cell
Theoretical density = 7859 kg/m³

Cell: 5.7792 5.7792 11.9482 Å, 90.00 90.00 120.00°
With the nearest neighbours (Å) after each atom.
Element x y z (fractional)
La1 0.0000 0.0000 0.0000  6 Pd 2.89
La2 0.3333 0.6667 0.7484  6 Pd 2.97
La3 0.6667 0.3333 0.2516  6 Pd 2.97
Al1 0.3333 0.6667 0.1584  6 Pd 2.47-2.52
Al2 0.6667 0.3333 0.8416  6 Pd 2.47-2.52
Pd1 0.0000 0.5000 0.0000  2 Al 2.52
Pd2 0.1641 0.3283 0.3091  1 Al 2.47
Pd3 0.1641 0.8359 0.3091  1 Al 2.47
Pd4 0.3283 0.1641 0.6909  1 Al 2.47
Pd5 0.5000 0.0000 0.0000  2 Al 2.52
Pd6 0.5000 0.5000 0.0000  2 Al 2.52
Pd7 0.6717 0.8359 0.3091  1 Al 2.47
Pd8 0.8359 0.1641 0.6909  1 Al 2.47
Pd9 0.8359 0.6717 0.6909  1 Al 2.47
Pb1 0.0000 0.0000 0.5000  6 Pd 2.81

=====

Entry from Alexandria: a geometry-optimized La2AlPd6Pb structure (PBE).

## Properties
Energy relative to the elements = -7.662 kcal/mol of atoms
Space-group type = R-3m
Energy = -51.79 eV per cell
Theoretical density = 8160 kg/m³

Cell: 6.9126 6.9126 6.9126 Å, 60.09 60.09 60.09°
With the nearest neighbours (Å) after each atom.
Element x y z (fractional)
La1 0.2500 0.2500 0.2500  12 Pd 3.46
La2 0.7500 0.7500 0.7500  12 Pd 3.46
Al1 0.0000 0.0000 0.0000  6 Pd 2.30
Pd1 0.2352 0.2352 0.7647  1 Al 2.30
Pd2 0.2352 0.7647 0.2352  1 Al 2.30
Pd3 0.2353 0.7648 0.7648  1 Al 2.30
Pd4 0.7647 0.2352 0.2352  1 Al 2.30
Pd5 0.7648 0.2353 0.7648  1 Al 2.30
Pd6 0.7648 0.7648 0.2353  1 Al 2.30
Pb1 0.5000 0.5000 0.5000  6 Pd 2.59

=====

Entry from Alexandria: a geometry-optimized LaAlPtPb2 structure (PBE).

## Properties
Energy relative to the elements = -3.305 kcal/mol of atoms
Space-group type = P4/mmm
Energy = -22.84 eV per cell
Theoretical density = 9358 kg/m³

Cell: 5.4078 5.4078 4.7050 Å, 90.00 90.00 90.00°
With the nearest neighbours (Å) after each atom.
Element x y z (fractional)
La1 0.0000 0.0000 0.0000  8 Pb 3.58, 4 Pt 3.82
Al1 0.5000 0.5000 0.5000  2 Pt 2.35
Pt1 0.5000 0.5000 0.0000  2 Al 2.35
Pb1 0.0000 0.5000 0.5000  2 Al 2.70
Pb2 0.5000 0.0000 0.5000  2 Al 2.70

=====

Entry from Alexandria: a geometry-optimized LaPuAlPb structure (PBE).

## Properties
Energy relative to the elements = -4.364 kcal/mol of atoms
Space-group type = F-43m
Energy = -27.47 eV per cell
Theoretical density = 9048 kg/m³

Cell: 5.4307 5.4307 5.4307 Å, 60.00 60.00 60.00°
With the nearest neighbours (Å) after each atom.
Element x y z (fractional)
La1 0.0000 0.0000 0.0000  4 Al 3.33, 4 Pb 3.33
Pu1 0.5000 0.5000 0.5000  4 Al 3.33, 4 Pb 3.33
Al1 0.7500 0.7500 0.7500  4 Pu 3.33, 4 La 3.33
Pb1 0.2500 0.2500 0.2500  4 La 3.33, 4 Pu 3.33